Below is a relaxed CsRhI4 crystal, with properties calculated at the GGA-PBE level.

* symmetry: C2/c (15)
* final energy: -2.988 eV/atom

a = 8.211 Å, b = 10.065 Å, c = 9.270 Å
α = 57.12°, β = 101.77°, γ = 112.07°
Atoms (fractional coordinates):
I1 0.384 0.285 0.013
Rh1 0.250 0.998 0.004
I2 0.497 0.113 0.772
I3 0.616 0.715 0.987
I4 0.503 0.887 0.228
Cs1 0.250 0.660 0.679
Rh2 0.750 0.002 0.996
I5 0.884 0.298 0.987
I6 0.003 0.115 0.772
Cs2 0.750 0.340 0.321
I7 0.997 0.885 0.228
I8 0.116 0.702 0.013